Record 1
Pm4ZnS3 | PBE | optimized geometry

Values from the calculation:
Energy relative to the elements, uncorrected in eV/atom: -1.601
Total moment in μB per cell: 0.0
Total DFT energy (no corrections) in eV/atom: -5.6836

abc: 5.783 5.783 11.538
angles: 90.00 90.00 90.00
Space group I4/mmm (No. 139)
Asymmetric unit:
Pm 0.000 0.000 0.243 (multiplicity 4)
Pm 0.000 0.500 0.000 (multiplicity 4)
Zn 0.000 0.000 0.500 (multiplicity 2)
S 0.000 0.000 0.000 (multiplicity 2)
S 0.000 0.500 0.250 (multiplicity 4)


Record 2
Pm3ZnS6 | PBE | optimized geometry

Values from the calculation:
Energy relative to the elements, uncorrected in eV/atom: -1.608
Total moment in μB per cell: 0.0
Total DFT energy (no corrections) in eV/atom: -5.6374

abc: 11.151 13.857 6.359
angles: 90.00 90.00 90.00
Space group Cmc2_1 (No. 36)
Asymmetric unit:
Pm 0.000 0.114 0.000 (multiplicity 4)
Pm 0.178 0.394 0.923 (multiplicity 8)
Zn 0.000 0.304 0.374 (multiplicity 4)
S 0.000 0.280 0.733 (multiplicity 4)
S 0.000 0.464 0.232 (multiplicity 4)
S 0.160 0.018 0.710 (multiplicity 8)
S 0.168 0.237 0.205 (multiplicity 8)


Record 3
Pm3Zn5S12 | PBE | optimized geometry

Values from the calculation:
Energy relative to the elements, uncorrected in eV/atom: -0.873
Total moment in μB per cell: 0.0
Total DFT energy (no corrections) in eV/atom: -4.3810

abc: 15.187 15.187 15.187
angles: 90.00 90.00 90.00
Space group Ia-3d (No. 230)
Asymmetric unit:
Pm 0.000 0.250 0.125 (multiplicity 24)
Zn 0.000 0.000 0.000 (multiplicity 16)
Zn 0.000 0.250 0.375 (multiplicity 24)
S 0.027 0.061 0.650 (multiplicity 96)


Record 4
Pm6ZnS4 | PBE | optimized geometry

Values from the calculation:
Energy relative to the elements, uncorrected in eV/atom: -1.535
Total moment in μB per cell: 2.1
Total DFT energy (no corrections) in eV/atom: -5.7433

abc: 4.023 13.404 20.673
angles: 90.00 90.00 90.00
Space group Cmcm (No. 63)
Asymmetric unit:
Pm 0.000 0.000 0.000 (multiplicity 4)
Pm 0.000 0.171 0.250 (multiplicity 4)
Pm 0.000 0.273 0.582 (multiplicity 8)
Pm 0.000 0.457 0.162 (multiplicity 8)
Zn 0.000 0.159 0.750 (multiplicity 4)
S 0.000 0.093 0.124 (multiplicity 8)
S 0.000 0.363 0.041 (multiplicity 8)


Record 5
PmZnS | PBE | optimized geometry

Values from the calculation:
Energy relative to the elements, uncorrected in eV/atom: -1.210
Total moment in μB per cell: 0.0
Total DFT energy (no corrections) in eV/atom: -4.5940

abc: 4.6314 4.6314 22.6217
angles: 90.00 90.00 120.00
Space group R-3m (No. 166, hexagonal axes)
Asymmetric unit:
Pm 0.0000 0.0000 0.0854 (multiplicity 6)
Zn 0.0000 0.0000 0.3296 (multiplicity 6)
S 0.0000 0.0000 0.2155 (multiplicity 6)


Record 6
Pm5ZnS4 | PBE | optimized geometry

Values from the calculation:
Energy relative to the elements, uncorrected in eV/atom: -1.689
Total moment in μB per cell: 0.0
Total DFT energy (no corrections) in eV/atom: -5.8428

abc: 9.115 9.115 5.758
angles: 90.00 90.00 90.00
Space group I4/m (No. 87)
Asymmetric unit:
Pm 0.000 0.000 0.000 (multiplicity 2)
Pm 0.103 0.694 0.500 (multiplicity 8)
Zn 0.000 0.000 0.500 (multiplicity 2)
S 0.101 0.699 0.000 (multiplicity 8)